Record 1
Compound: SrLaMg2
Source: Alexandria
Functional: GGA-PBE
Structure: relaxed

Lattice parameters (Å, degrees): 3.5881 5.1295 7.2804 90.00 90.00 90.00
Atoms (fractional coordinates):
La1 0.5000 0.5000 0.7890
Mg1 0.0000 0.0000 0.9980
Mg2 0.5000 0.5000 0.2400
Sr1 0.0000 0.0000 0.4730

Output
As for the formation energy from the elements: 0.0718 eV/atom. As for the space group: No. 25. The total energy comes out at -2.3778 eV/atom. The value obtained for the density of states at the Fermi level is 3.28 states/eV per cell.

---

Record 2
Compound: Be2CoCu
Source: Alexandria
Functional: GGA-PBE
Structure: relaxed

Lattice parameters (Å, degrees): 4.3049 4.3049 3.8559 71.75 71.75 33.73
Atoms (fractional coordinates):
Be1 0.9916 0.9916 0.9561
Be2 0.2581 0.2581 0.2965
Co1 0.5118 0.5118 0.4414
Cu1 0.7384 0.7384 0.8060

Output
As for the formation energy from the elements: -0.1265 eV/atom. As for the space group: No. 8. The total energy comes out at -4.7901 eV/atom. The value obtained for the density of states at the Fermi level is 2.71 states/eV per cell.